Record 1
# RbGaHg3

A geometry-optimized RbGaHg3 structure (GGA-PBE, the Alexandria database).

Calculated values
SG: Pm-3m
Calculated volume in Å³/f.u.: 165.5
Formation energy from the elements in meV/atom: -111.7
ρ in g/cm³: 7.595
Polymorph energy (0 for the lowest one) in kJ per mole of atoms: 0.5
N(E_F) in states/eV/f.u.: 2.7
Calculated total energy in eV/atom: -1.092

a = 5.4902 Å, b = 5.4902 Å, c = 5.4902 Å
α = 90.00°, β = 90.00°, γ = 90.00°
Fractional coordinates of all 5 atoms:
Ga: 0.0000 0.0000 0.0000
Hg: 0.0000 0.0000 0.5000
Rb: 0.5000 0.5000 0.5000
Hg: 0.5000 0.0000 0.0000
Hg: 0.0000 0.5000 0.0000

---

Record 2
# KNi

A geometry-optimized KNi structure (GGA-PBE, the Alexandria database).

Calculated values
SG: I4/mmm
Calculated volume in Å³/f.u.: 72.9
Formation energy from the elements in meV/atom: 593.1
ρ in g/cm³: 2.228
Polymorph energy (0 for the lowest one) in kJ per mole of atoms: 7.8
N(E_F) in states/eV/f.u.: 2.2
Calculated total energy in eV/atom: -2.846

a = 11.8604 Å, b = 11.8604 Å, c = 4.1452 Å
α = 90.00°, β = 90.00°, γ = 90.00°
Fractional coordinates of all 16 atoms:
Ni: 0.7732 0.7732 0.0000
K: 0.7452 0.0000 0.5000
K: 0.7548 0.5000 0.0000
Ni: 0.2732 0.2732 0.5000
K: 0.5000 0.2452 0.0000
Ni: 0.7732 0.2268 0.0000
K: 0.0000 0.2548 0.5000
K: 0.5000 0.7548 0.0000
Ni: 0.2268 0.2268 0.0000
K: 0.0000 0.7452 0.5000
Ni: 0.7268 0.2732 0.5000
Ni: 0.2732 0.7268 0.5000
Ni: 0.7268 0.7268 0.5000
K: 0.2548 0.0000 0.5000
Ni: 0.2268 0.7732 0.0000
K: 0.2452 0.5000 0.0000

---

Record 3
# TlFeHg

A geometry-optimized TlFeHg structure (GGA-PBE, the Alexandria database).

Calculated values
SG: F-43m
Calculated volume in Å³/f.u.: 68.6
Formation energy from the elements in meV/atom: 546.3
ρ in g/cm³: 11.152
Polymorph energy (0 for the lowest one) in kJ per mole of atoms: 3.2
N(E_F) in states/eV/f.u.: 3.2
Calculated total energy in eV/atom: -3.164

a = 4.5953 Å, b = 4.5953 Å, c = 4.5953 Å
α = 60.00°, β = 60.00°, γ = 60.00°
Fractional coordinates of all 3 atoms:
Hg: 0.0000 0.0000 0.0000
Tl: 0.5000 0.5000 0.5000
Fe: 0.7500 0.7500 0.7500

---

Record 4
# AcIn3Pd3

A geometry-optimized AcIn3Pd3 structure (GGA-PBE, the Alexandria database).

Calculated values
SG: Pm-3n
Calculated volume in Å³/f.u.: 195.2
Formation energy from the elements in meV/atom: -228.1
ρ in g/cm³: 7.579
Polymorph energy (0 for the lowest one) in kJ per mole of atoms: 32.1
N(E_F) in states/eV/f.u.: 4.4
Calculated total energy in eV/atom: -4.214

a = 7.3082 Å, b = 7.3082 Å, c = 7.3082 Å
α = 90.00°, β = 90.00°, γ = 90.00°
Fractional coordinates of all 14 atoms:
In: 0.0000 0.7500 0.5000
Pd: 0.7500 0.0000 0.5000
In: 0.2500 0.5000 0.0000
In: 0.5000 0.0000 0.2500
Ac: 0.0000 0.0000 0.0000
Pd: 0.2500 0.0000 0.5000
In: 0.7500 0.5000 0.0000
Ac: 0.5000 0.5000 0.5000
In: 0.5000 0.0000 0.7500
Pd: 0.5000 0.7500 0.0000
Pd: 0.0000 0.5000 0.2500
In: 0.0000 0.2500 0.5000
Pd: 0.0000 0.5000 0.7500
Pd: 0.5000 0.2500 0.0000

---

Record 5
# HfGeRh

A geometry-optimized HfGeRh structure (GGA-PBE, the Alexandria database).

Calculated values
SG: P-62m
Calculated volume in Å³/f.u.: 49.8
Formation energy from the elements in meV/atom: -881.7
ρ in g/cm³: 11.802
N(E_F) in states/eV/f.u.: 1.5
Calculated total energy in eV/atom: -8.189

a = 6.6357 Å, b = 6.6357 Å, c = 3.9188 Å
α = 90.00°, β = 90.00°, γ = 120.00°
Fractional coordinates of all 9 atoms:
Ge: 0.6667 0.3333 0.0000
Hf: 0.0000 0.5760 0.5000
Ge: 0.0000 0.0000 0.5000
Rh: 0.2486 0.0000 0.0000
Ge: 0.3333 0.6667 0.0000
Rh: 0.7514 0.7514 0.0000
Hf: 0.5760 0.0000 0.5000
Hf: 0.4240 0.4240 0.5000
Rh: 0.0000 0.2486 0.0000

---

Record 6
# YMgBe2Au

A geometry-optimized YMgBe2Au structure (GGA-PBE, the Alexandria database).

Calculated values
SG: P4/mmm
Calculated volume in Å³/f.u.: 111.1
Formation energy from the elements in meV/atom: 965.0
ρ in g/cm³: 4.907
N(E_F) in states/eV/f.u.: 2.7
Calculated total energy in eV/atom: -2.793

a = 4.4927 Å, b = 5.5022 Å, c = 4.4927 Å
α = 90.00°, β = 90.00°, γ = 90.00°
Fractional coordinates of all 5 atoms:
Mg: 0.0000 0.0000 0.0000
Be: 0.0000 0.0000 0.5000
Be: 0.5000 0.0000 0.0000
Au: 0.5000 0.5000 0.5000
Y: 0.0000 0.5000 0.0000

---

Record 7
# TaCoCu2

A geometry-optimized TaCoCu2 structure (GGA-PBE, the Alexandria database).

Calculated values
SG: C2/m
Calculated volume in Å³/f.u.: 53.8
Formation energy from the elements in meV/atom: 212.7
ρ in g/cm³: 11.331
Polymorph energy (0 for the lowest one) in kJ per mole of atoms: 18.1
N(E_F) in states/eV/f.u.: 3.8
Calculated total energy in eV/atom: -6.575

a = 5.1977 Å, b = 5.1977 Å, c = 2.6752 Å
α = 76.78°, β = 76.78°, γ = 122.32°
Fractional coordinates of all 4 atoms:
Ta: 0.5000 0.0000 0.5000
Co: 0.0000 0.5000 0.5000
Cu: 0.0000 0.0000 0.0000
Cu: 0.5000 0.5000 0.0000

---

Record 8
# GePdPt4

A geometry-optimized GePdPt4 structure (GGA-PBE, the Alexandria database).

Calculated values
SG: C2/c
Calculated volume in Å³/f.u.: 97.8
Formation energy from the elements in meV/atom: -101.2
ρ in g/cm³: 16.290
N(E_F) in states/eV/f.u.: 5.4
Calculated total energy in eV/atom: -5.763

a = 5.3098 Å, b = 5.0732 Å, c = 7.7623 Å
α = 95.13°, β = 110.00°, γ = 90.00°
Fractional coordinates of all 12 atoms:
Pt: 0.9709 0.9571 0.6680
Pt: 0.4845 0.9197 0.1668
Pd: 0.0919 0.2500 0.0000
Pt: 0.6971 0.4571 0.6680
Pt: 0.3029 0.5429 0.3320
Ge: 0.5000 0.0000 0.5000
Pt: 0.6824 0.4197 0.1668
Ge: 0.0000 0.5000 0.5000
Pt: 0.3176 0.5803 0.8332
Pt: 0.0291 0.0429 0.3320
Pd: 0.9081 0.7500 0.0000
Pt: 0.5155 0.0803 0.8332

---

Record 9
# TbTh5Tl4

A geometry-optimized TbTh5Tl4 structure (GGA-PBE, the Alexandria database).

Calculated values
SG: C2/m
Calculated volume in Å³/f.u.: 314.4
Formation energy from the elements in meV/atom: 51.0
ρ in g/cm³: 11.285
N(E_F) in states/eV/f.u.: 13.5
Calculated total energy in eV/atom: -5.068

a = 3.6206 Å, b = 10.0476 Å, c = 8.9019 Å
α = 82.73°, β = 101.73°, γ = 90.00°
Fractional coordinates of all 10 atoms:
Tl: 0.0363 0.2319 0.0725
Th: 0.1865 0.3988 0.3729
Th: 0.8455 0.2303 0.6911
Th: 0.5000 0.5000 0.0000
Tl: 0.9637 0.7681 0.9275
Tl: 0.3204 0.9182 0.6408
Th: 0.1545 0.7697 0.3089
Tl: 0.6796 0.0818 0.3592
Th: 0.8135 0.6012 0.6271
Tb: 0.5000 0.0000 0.0000

---

Record 10
# TlSn2Pb9

A geometry-optimized TlSn2Pb9 structure (GGA-PBE, the Alexandria database).

Calculated values
SG: P4/mmm
Calculated volume in Å³/f.u.: 374.4
Formation energy from the elements in meV/atom: 45.0
ρ in g/cm³: 10.231
N(E_F) in states/eV/f.u.: 7.1
Calculated total energy in eV/atom: -3.601

a = 6.0194 Å, b = 6.0194 Å, c = 10.3322 Å
α = 90.00°, β = 90.00°, γ = 90.00°
Fractional coordinates of all 12 atoms:
Pb: 0.0000 0.5000 0.1724
Pb: 0.5000 0.0000 0.5000
Pb: 0.5000 0.5000 0.3350
Tl: 0.0000 0.0000 0.0000
Pb: 0.5000 0.5000 0.0000
Pb: 0.5000 0.0000 0.8276
Pb: 0.0000 0.5000 0.8276
Pb: 0.5000 0.5000 0.6650
Pb: 0.5000 0.0000 0.1724
Sn: 0.0000 0.0000 0.3377
Pb: 0.0000 0.5000 0.5000
Sn: 0.0000 0.0000 0.6623

---

Record 11
# RbPmIn2

A geometry-optimized RbPmIn2 structure (GGA-PBE, the Alexandria database).

Calculated values
SG: P4/mmm
Calculated volume in Å³/f.u.: 140.4
Formation energy from the elements in meV/atom: -213.5
ρ in g/cm³: 5.441
N(E_F) in states/eV/f.u.: 2.5
Calculated total energy in eV/atom: -3.012

a = 3.9900 Å, b = 3.9900 Å, c = 8.8203 Å
α = 90.00°, β = 90.00°, γ = 90.00°
Fractional coordinates of all 4 atoms:
Pm: 0.5000 0.5000 0.0000
Rb: 0.5000 0.5000 0.5000
In: 0.0000 0.0000 0.1932
In: 0.0000 0.0000 0.8068